# 1
{
  "formula": "Sr6PdAu",
  "functional": "PBE-GGA",
  "state": "relaxed",
  "magnetic_moment_mub_per_cell": 0.000,
  "volume_a3_per_atom": 44.588,
  "delta_e_f_kj_per_mol_fu": -307.2,
  "space_group": "No. 148",
  "lattice": [[3.771, 2.177, 7.240], [-3.771, 2.177, 7.240], [0.000, -4.355, 7.240]],
  "species": ["Sr", "Sr", "Sr", "Sr", "Sr", "Sr", "Pd", "Au"],
  "frac_coords": [[0.083, 0.754, 0.409], [0.246, 0.591, 0.917], [0.409, 0.083, 0.754], [0.591, 0.917, 0.246], [0.754, 0.409, 0.083], [0.917, 0.246, 0.591], [0.000, 0.000, 0.000], [0.500, 0.500, 0.500]]
}

# 2
{
  "formula": "CsAgB2I8",
  "functional": "PBE-GGA",
  "state": "relaxed",
  "energy_ev_per_atom": -2.758,
  "magnetic_moment_mub_per_cell": 0.000,
  "volume_a3_per_atom": 39.385,
  "space_group": "No. 148",
  "lattice": [[3.562, 2.057, 10.751], [-3.562, 2.057, 10.751], [0.000, -4.113, 10.751]],
  "species": ["Cs", "Ag", "B", "B", "I", "I", "I", "I", "I", "I", "I", "I"],
  "frac_coords": [[0.000, 0.000, 0.000], [0.500, 0.500, 0.500], [0.247, 0.247, 0.247], [0.753, 0.753, 0.753], [0.079, 0.474, 0.774], [0.226, 0.921, 0.526], [0.316, 0.316, 0.316], [0.474, 0.774, 0.079], [0.526, 0.226, 0.921], [0.684, 0.684, 0.684], [0.774, 0.079, 0.474], [0.921, 0.526, 0.226]]
}

# 3
{
  "formula": "Mo3N",
  "functional": "PBE-GGA",
  "state": "relaxed",
  "energy_ev_per_atom": -10.134,
  "magnetic_moment_mub_per_cell": 0.000,
  "volume_a3_per_atom": 13.356,
  "space_group": "No. 44",
  "lattice": [[-1.419, 3.939, 2.389], [1.419, -3.939, 2.389], [1.419, 3.939, -2.389]],
  "species": ["Mo", "Mo", "Mo", "N"],
  "frac_coords": [[0.000, 0.000, 0.000], [0.316, 0.500, 0.816], [0.684, 0.500, 0.184], [0.662, 0.162, 0.500]]
}

# 4
{
  "formula": "K2SbTe",
  "functional": "PBE-GGA",
  "state": "relaxed",
  "energy_ev_per_atom": -2.856,
  "magnetic_moment_mub_per_cell": 0.000,
  "volume_a3_per_atom": 33.002,
  "space_group": "No. 139",
  "lattice": [[-2.496, 2.496, 5.298], [2.496, -2.496, 5.298], [2.496, 2.496, -5.298]],
  "species": ["K", "K", "Sb", "Te"],
  "frac_coords": [[0.250, 0.750, 0.500], [0.750, 0.250, 0.500], [0.000, 0.000, 0.000], [0.500, 0.500, 0.000]]
}

# 5
{
  "formula": "PmPaZnSb",
  "functional": "PBE-GGA",
  "state": "relaxed",
  "energy_ev_per_atom": -5.149,
  "magnetic_moment_mub_per_cell": 2.129,
  "volume_a3_per_atom": 25.637,
  "space_group": "No. 216",
  "lattice": [[0.000, 3.715, 3.715], [3.715, 0.000, 3.715], [3.715, 3.715, 0.000]],
  "species": ["Pm", "Pa", "Zn", "Sb"],
  "frac_coords": [[0.000, 0.000, 0.000], [0.500, 0.500, 0.500], [0.750, 0.750, 0.750], [0.250, 0.250, 0.250]]
}

# 6
{
  "formula": "MnHg2P",
  "functional": "PBE-GGA",
  "state": "relaxed",
  "magnetic_moment_mub_per_cell": 1.003,
  "volume_a3_per_atom": 18.711,
  "delta_e_f_kj_per_mol_fu": 48.8,
  "space_group": "No. 71",
  "lattice": [[-1.378, 1.821, 7.458], [1.378, -1.821, 7.458], [1.378, 1.821, -7.458]],
  "species": ["Mn", "Hg", "Hg", "P"],
  "frac_coords": [[0.000, 0.000, 0.000], [0.174, 0.674, 0.500], [0.826, 0.326, 0.500], [0.500, 0.500, 0.000]]
}

# 7
{
  "formula": "LaPdCl",
  "functional": "PBE-GGA",
  "state": "relaxed",
  "energy_ev_per_atom": -5.465,
  "magnetic_moment_mub_per_cell": 0.000,
  "volume_a3_per_atom": 29.456,
  "space_group": "No. 12",
  "lattice": [[3.778, -2.186, 0.000], [3.778, 2.186, 0.000], [-0.436, 0.000, 10.700]],
  "species": ["La", "La", "Pd", "Pd", "Cl", "Cl"],
  "frac_coords": [[0.011, 0.011, 0.189], [0.989, 0.989, 0.811], [0.336, 0.336, 0.043], [0.664, 0.664, 0.957], [0.314, 0.314, 0.658], [0.686, 0.686, 0.342]]
}

# 8
{
  "formula": "Pm2ZnNi2Pt5",
  "functional": "PBE-GGA",
  "state": "relaxed",
  "magnetic_moment_mub_per_cell": 0.000,
  "volume_a3_per_atom": 17.212,
  "delta_e_f_kj_per_mol_fu": -726.9,
  "space_group": "No. 127",
  "lattice": [[9.304, 0.000, 0.000], [0.000, 9.304, 0.000], [0.000, 0.000, 3.977]],
  "species": ["Pm", "Pm", "Pm", "Pm", "Zn", "Zn", "Ni", "Ni", "Ni", "Ni", "Pt", "Pt", "Pt", "Pt", "Pt", "Pt", "Pt", "Pt", "Pt", "Pt"],
  "frac_coords": [[0.176, 0.324, 0.000], [0.324, 0.824, 0.000], [0.676, 0.176, 0.000], [0.824, 0.676, 0.000], [0.000, 0.000, 0.000], [0.500, 0.500, 0.000], [0.122, 0.622, 0.000], [0.378, 0.122, 0.000], [0.622, 0.878, 0.000], [0.878, 0.378, 0.000], [0.000, 0.500, 0.500], [0.065, 0.794, 0.500], [0.206, 0.065, 0.500], [0.294, 0.565, 0.500], [0.435, 0.294, 0.500], [0.500, 0.000, 0.500], [0.565, 0.706, 0.500], [0.706, 0.435, 0.500], [0.794, 0.935, 0.500], [0.935, 0.206, 0.500]]
}

# 9
{
  "formula": "HgMoBr2",
  "functional": "PBE-GGA",
  "state": "relaxed",
  "energy_ev_per_atom": -2.959,
  "magnetic_moment_mub_per_cell": 4.332,
  "volume_a3_per_atom": 25.427,
  "space_group": "No. 65",
  "lattice": [[3.611, -3.631, 0.000], [3.611, 3.631, 0.000], [0.000, 0.000, 3.878]],
  "species": ["Hg", "Mo", "Br", "Br"],
  "frac_coords": [[0.000, 0.000, 0.000], [0.500, 0.500, 0.000], [0.000, 0.500, 0.500], [0.500, 0.000, 0.500]]
}

# 10
{
  "formula": "BeInAg",
  "functional": "PBE-GGA",
  "state": "relaxed",
  "magnetic_moment_mub_per_cell": 0.000,
  "volume_a3_per_atom": 17.886,
  "delta_e_f_kj_per_mol_fu": 69.9,
  "space_group": "No. 216",
  "lattice": [[0.000, 2.994, 2.994], [2.994, 0.000, 2.994], [2.994, 2.994, 0.000]],
  "species": ["Be", "In", "Ag"],
  "frac_coords": [[0.000, 0.000, 0.000], [0.750, 0.750, 0.750], [0.250, 0.250, 0.250]]
}

# 11
{
  "formula": "PmErHg4",
  "functional": "PBE-GGA",
  "state": "relaxed",
  "magnetic_moment_mub_per_cell": 0.238,
  "volume_a3_per_atom": 25.527,
  "delta_e_f_kj_per_mol_fu": -198.4,
  "space_group": "No. 12",
  "lattice": [[5.372, -1.944, 0.000], [5.372, 1.944, 0.000], [-2.768, 0.000, 7.334]],
  "species": ["Pm", "Er", "Hg", "Hg", "Hg", "Hg"],
  "frac_coords": [[0.000, 0.000, 0.000], [0.000, 0.000, 0.500], [0.332, 0.332, 0.658], [0.333, 0.333, 0.176], [0.667, 0.667, 0.824], [0.668, 0.668, 0.342]]
}

# 12
{
  "formula": "ReMoOs",
  "functional": "PBE-GGA",
  "state": "relaxed",
  "magnetic_moment_mub_per_cell": 0.000,
  "volume_a3_per_atom": 15.255,
  "delta_e_f_kj_per_mol_fu": 14.2,
  "space_group": "No. 107",
  "lattice": [[-1.382, 1.382, 5.988], [1.382, -1.382, 5.988], [1.382, 1.382, -5.988]],
  "species": ["Re", "Mo", "Os"],
  "frac_coords": [[0.000, 0.000, 0.000], [0.321, 0.321, 0.000], [0.651, 0.651, 0.000]]
}